[1]
CeGe4Pd2 | PBE | relaxed

Cell lengths 4.385, 6.815, 17.619 Å; angles 90.00, 90.00, 90.00 degrees
Each line ends with the local moment (μB).
Atoms (fractional coordinates):
Ge 0.250 0.274 0.692  0.01
Ge 0.750 0.726 0.308  0.01
Ge 0.750 0.774 0.808  0.01
Ge 0.250 0.226 0.192  0.01
Ge 0.250 0.686 0.679  0.00
Ge 0.750 0.314 0.321  0.00
Ge 0.750 0.186 0.821  0.00
Ge 0.250 0.814 0.179  0.00
Ge 0.250 0.142 0.537  0.01
Ge 0.750 0.858 0.463  0.01
Ge 0.750 0.642 0.963  0.01
Ge 0.250 0.358 0.037  0.01
Ge 0.250 0.465 0.437  0.00
Ge 0.750 0.535 0.563  0.00
Ge 0.750 0.965 0.063  0.00
Ge 0.250 0.035 0.937  0.00
Pd 0.250 0.758 0.528  0.01
Pd 0.750 0.242 0.472  0.01
Pd 0.750 0.258 0.972  0.01
Pd 0.250 0.742 0.028  0.01
Pd 0.250 0.974 0.792  0.02
Pd 0.750 0.026 0.208  0.02
Pd 0.750 0.474 0.708  0.02
Pd 0.250 0.526 0.292  0.02
Ce 0.750 0.991 0.642  0.68
Ce 0.250 0.009 0.358  0.68
Ce 0.250 0.491 0.858  0.68
Ce 0.750 0.509 0.142  0.68

Computed properties:
SG: Pnma (62)
formation energy: -528 meV per atom

[2]
RbAlS2 | PBE | relaxed

Cell lengths 5.844, 7.221, 7.228 Å; angles 59.97, 90.02, 89.93 degrees
Atoms (fractional coordinates):
S 0.982 0.304 0.540
S 0.983 0.907 0.073
S 0.483 0.888 0.748
S 0.482 0.286 0.884
Al 0.732 0.096 0.801
Al 0.232 0.096 0.801
Rb 0.483 0.736 0.377
Rb 0.982 0.457 0.016

Computed properties:
SG: C2 (5)
formation energy (no corrections): -1298.7 meV/atom

[3]
NbBi3P | PBE | relaxed

Cell lengths 5.324, 5.324, 5.324 Å; angles 90.00, 90.00, 90.00 degrees
Each line ends with the local moment (μB).
Atoms (fractional coordinates):
P 0.000 0.000 0.000  -0.03
Nb 0.500 0.500 0.500  2.38
Bi 0.000 0.500 0.000  -0.08
Bi 0.000 0.000 0.500  -0.08
Bi 0.500 0.000 0.000  -0.02

Computed properties:
SG: Pm-3m (221)
formation energy: 1015 meV per atom
energy above the lowest structure with this stoichiometry: 0.190 eV/atom